No. 1
Rb2MnAs2 (PBE, relaxed); formation energy = -90 meV per atom; volume = 278 Å³ per cell; total magnetic moment = 4.18 μB/f.u.; symmetry = P4/mbm
1.0
6.885 0.000 0.000
0.000 6.885 0.000
0.000 0.000 5.867
Rb Mn As
4 2 4
direct
0.172 0.328 0.000
0.328 0.828 0.000
0.672 0.172 0.000
0.828 0.672 0.000
0.000 0.000 0.500
0.500 0.500 0.500
0.134 0.634 0.500
0.366 0.134 0.500
0.634 0.866 0.500
0.866 0.366 0.500


No. 2
Rb3Mn2As3 (PBE, relaxed); formation energy = -218 meV per atom; volume = 482 Å³ per cell; total magnetic moment = 8.01 μB/f.u.; symmetry = Cmcm
1.0
2.256 -7.004 0.000
2.256 7.004 0.000
0.000 0.000 15.258
Rb Mn As
6 4 6
direct
0.072 0.928 0.609
0.072 0.928 0.891
0.391 0.609 0.750
0.609 0.391 0.250
0.928 0.072 0.109
0.928 0.072 0.391
0.233 0.767 0.093
0.233 0.767 0.407
0.767 0.233 0.593
0.767 0.233 0.907
0.292 0.708 0.250
0.334 0.666 0.544
0.334 0.666 0.956
0.666 0.334 0.044
0.666 0.334 0.456
0.708 0.292 0.750